Version 1
VASP calculation (SCAN) on a PBEsol-optimized structure of BaPCl2.

Total magnetic moment ... 0.0 μB/f.u.

The structure in CIF format:
```
data_BaPCl2
_space_group_name_H-M_alt 'C 1 m 1'
_space_group_IT_number 8
_cell_length_a 12.2465
_cell_length_b 4.1961
_cell_length_c 4.4225
_cell_angle_alpha 90.00
_cell_angle_beta 103.01
_cell_angle_gamma 90.00
loop_
_space_group_symop_operation_xyz
'x,y,z'
'x,-y,z'
'x+1/2,y+1/2,z'
'x+1/2,-y+1/2,z'
loop_
_atom_site_label
_atom_site_type_symbol
_atom_site_fract_x
_atom_site_fract_y
_atom_site_fract_z
_atom_site_occupancy
Ba1 Ba 0.0000 0.0000 0.0000 1
P1 P 0.2229 0.5000 0.9312 1
Cl1 Cl 0.1969 0.0000 0.6871 1
Cl2 Cl 0.4427 0.0000 0.4513 1
```

***

Version 2
VASP calculation (SCAN) on a PBEsol-optimized structure of BaPCl2.

Total magnetic moment ... 0.0 μB/f.u.

The structure in CIF format:
```
data_BaPCl2
_space_group_name_H-M_alt 'I m m m'
_space_group_IT_number 71
_space_group_name_Hall '-I 2 2'
_cell_length_a 4.3771
_cell_length_b 5.5617
_cell_length_c 8.0184
_cell_angle_alpha 90.00
_cell_angle_beta 90.00
_cell_angle_gamma 90.00
loop_
_atom_site_label
_atom_site_type_symbol
_atom_site_fract_x
_atom_site_fract_y
_atom_site_fract_z
_atom_site_occupancy
Ba1 Ba 0.0000 0.0000 0.0000 1
P1 P 0.0000 0.0000 0.5000 1
Cl1 Cl 0.0000 0.5000 0.1924 1
```

***

Most stable structure, least stable structure: version 1, version 2.

***

Version 1
VASP calculation (SCAN) on a PBEsol-optimized structure of BaPb2Cl.

Total magnetic moment ... 0.0 μB/f.u.

The structure in CIF format:
```
data_BaPb2Cl
_space_group_name_H-M_alt 'I 4/m m m'
_space_group_IT_number 139
_space_group_name_Hall '-I 4 2'
_cell_length_a 4.3842
_cell_length_b 4.3842
_cell_length_c 13.5536
_cell_angle_alpha 90.00
_cell_angle_beta 90.00
_cell_angle_gamma 90.00
loop_
_atom_site_label
_atom_site_type_symbol
_atom_site_fract_x
_atom_site_fract_y
_atom_site_fract_z
_atom_site_occupancy
Ba1 Ba 0.0000 0.0000 0.0000 1
Pb1 Pb 0.0000 0.5000 0.2500 1
Cl1 Cl 0.0000 0.0000 0.5000 1
```

***

Version 2
VASP calculation (SCAN) on a PBEsol-optimized structure of BaPb2Cl.

Total magnetic moment ... 0.0 μB/f.u.

The structure in CIF format:
```
data_BaPb2Cl
_space_group_name_H-M_alt 'C m m m'
_space_group_IT_number 65
_space_group_name_Hall '-C 2 2'
_cell_length_a 5.9549
_cell_length_b 12.5402
_cell_length_c 3.6439
_cell_angle_alpha 90.00
_cell_angle_beta 90.00
_cell_angle_gamma 90.00
loop_
_atom_site_label
_atom_site_type_symbol
_atom_site_fract_x
_atom_site_fract_y
_atom_site_fract_z
_atom_site_occupancy
Ba1 Ba 0.0000 0.0000 0.0000 1
Pb1 Pb 0.2500 0.2500 0.5000 1
Cl1 Cl 0.0000 0.5000 0.0000 1
```

***

Most stable structure, least stable structure: version 1, version 2.

***

Version 1
VASP calculation (SCAN) on a PBEsol-optimized structure of Ba2ReCl.

Total magnetic moment ... 2.2 μB/f.u.

The structure in CIF format:
```
data_Ba2ReCl
_space_group_name_H-M_alt 'I -4 m 2'
_space_group_IT_number 119
_space_group_name_Hall 'I -4 -2'
_cell_length_a 4.4391
_cell_length_b 4.4391
_cell_length_c 11.9987
_cell_angle_alpha 90.00
_cell_angle_beta 90.00
_cell_angle_gamma 90.00
loop_
_atom_site_label
_atom_site_type_symbol
_atom_site_fract_x
_atom_site_fract_y
_atom_site_fract_z
_atom_site_occupancy
Ba1 Ba 0.0000 0.0000 0.0000 1
Ba2 Ba 0.0000 0.5000 0.2500 1
Re1 Re 0.0000 0.5000 0.7500 1
Cl1 Cl 0.0000 0.0000 0.5000 1
```

***

Version 2
VASP calculation (SCAN) on a PBEsol-optimized structure of Ba2ReCl.

Total magnetic moment ... 1.7 μB/f.u.

The structure in CIF format:
```
data_Ba2ReCl
_space_group_name_H-M_alt 'P 4/m m m'
_space_group_IT_number 123
_space_group_name_Hall '-P 4 2'
_cell_length_a 5.6378
_cell_length_b 5.6378
_cell_length_c 3.4256
_cell_angle_alpha 90.00
_cell_angle_beta 90.00
_cell_angle_gamma 90.00
loop_
_atom_site_label
_atom_site_type_symbol
_atom_site_fract_x
_atom_site_fract_y
_atom_site_fract_z
_atom_site_occupancy
Ba1 Ba 0.0000 0.5000 0.0000 1
Re1 Re 0.0000 0.0000 0.5000 1
Cl1 Cl 0.5000 0.5000 0.5000 1
```

***

Most stable structure, least stable structure: version 2, version 1.